Material: Ca2OsI2
Method: DFT, PBE-GGA
State: optimized geometry

Values from the calculation:
Offset from the most stable computed form in meV/atom: 0
E in Ry per atom: -0.26538
Total moment in μB per cell: 0.00

Lattice parameters (Å, degrees): 6.025 6.025 6.025 119.50 119.50 90.88
Atoms (fractional coordinates):
Ca 0.250 0.750 0.500
Ca 0.750 0.250 0.500
Os 0.000 0.000 0.000
I 0.302 0.302 0.000
I 0.698 0.698 0.000

***

Material: SrCd2H8Ir
Method: DFT, PBE-GGA
State: optimized geometry

Values from the calculation:
E in Ry per atom: -0.24898
Total moment in μB per cell: 0.00

Lattice parameters (Å, degrees): 4.695 4.695 6.932 90.00 90.00 120.00
Atoms (fractional coordinates):
Sr 0.000 0.000 0.000
Cd 0.333 0.667 0.323
Cd 0.667 0.333 0.677
H 0.161 0.322 0.657
H 0.161 0.839 0.657
H 0.322 0.161 0.343
H 0.333 0.667 0.049
H 0.667 0.333 0.951
H 0.678 0.839 0.657
H 0.839 0.161 0.343
H 0.839 0.678 0.343
Ir 0.000 0.000 0.500

***

Material: K8N3O
Method: DFT, PBE-GGA
State: optimized geometry

Values from the calculation:
E in Ry per atom: -0.21983
Total moment in μB per cell: 3.00

Lattice parameters (Å, degrees): 6.736 6.736 6.736 90.00 90.00 90.00
Atoms (fractional coordinates):
K 0.243 0.243 0.243
K 0.243 0.243 0.757
K 0.243 0.757 0.243
K 0.243 0.757 0.757
K 0.757 0.243 0.243
K 0.757 0.243 0.757
K 0.757 0.757 0.243
K 0.757 0.757 0.757
N 0.000 0.500 0.500
N 0.500 0.000 0.500
N 0.500 0.500 0.000
O 0.000 0.000 0.000

***

Material: Ta3Se4S2
Method: DFT, PBE-GGA
State: optimized geometry

Values from the calculation:
E in Ry per atom: -0.53679
Total moment in μB per cell: 0.11

Lattice parameters (Å, degrees): 3.428 3.428 21.444 90.00 90.00 120.00
Atoms (fractional coordinates):
Ta 0.000 0.000 0.000
Ta 0.000 0.000 0.346
Ta 0.667 0.333 0.679
Se 0.000 0.000 0.600
Se 0.000 0.000 0.758
Se 0.667 0.333 0.267
Se 0.667 0.333 0.425
S 0.667 0.333 0.072
S 0.667 0.333 0.928

***

Material: NaOs2RhO8
Method: DFT, PBE-GGA
State: optimized geometry

Values from the calculation:
E in Ry per atom: -0.49807
Total moment in μB per cell: 0.00

Lattice parameters (Å, degrees): 5.270 5.270 7.571 90.00 90.00 120.00
Atoms (fractional coordinates):
Na 0.000 0.000 0.000
Os 0.333 0.667 0.749
Os 0.667 0.333 0.251
Rh 0.000 0.000 0.500
O 0.031 0.331 0.662
O 0.299 0.969 0.662
O 0.331 0.299 0.338
O 0.333 0.667 0.981
O 0.667 0.333 0.019
O 0.669 0.701 0.662
O 0.701 0.031 0.338
O 0.969 0.669 0.338

***

Material: La2Tb6PmNd3
Method: DFT, PBE-GGA
State: optimized geometry

Values from the calculation:
Formation energy from the elements in eV/atom: 0.01
E in Ry per atom: -0.34635
Total moment in μB per cell: 0.00

Lattice parameters (Å, degrees): 6.308 6.308 11.932 95.04 95.04 120.01
Atoms (fractional coordinates):
La 0.167 0.833 0.000
La 0.833 0.167 0.000
Tb 0.084 0.416 0.749
Tb 0.251 0.251 0.251
Tb 0.416 0.084 0.749
Tb 0.584 0.916 0.251
Tb 0.749 0.749 0.749
Tb 0.916 0.584 0.251
Pm 0.500 0.500 0.000
Nd 0.000 0.000 0.500
Nd 0.333 0.667 0.500
Nd 0.667 0.333 0.500

***

Material: Ho5ErTm2
Method: DFT, PBE-GGA
State: optimized geometry

Values from the calculation:
Formation energy from the elements in eV/atom: 0.18
Offset from the most stable computed form in meV/atom: 162
E in Ry per atom: -0.32102
Total moment in μB per cell: 0.00

Lattice parameters (Å, degrees): 5.645 11.108 8.359 90.00 106.35 90.00
Atoms (fractional coordinates):
Ho 0.166 0.077 0.209
Ho 0.166 0.423 0.209
Ho 0.267 0.750 0.582
Ho 0.299 0.077 0.620
Ho 0.299 0.423 0.620
Ho 0.701 0.577 0.380
Ho 0.701 0.923 0.380
Ho 0.733 0.250 0.418
Ho 0.834 0.577 0.791
Ho 0.834 0.923 0.791
Er 0.003 0.250 0.848
Er 0.997 0.750 0.152
Tm 0.390 0.617 0.967
Tm 0.390 0.883 0.967
Tm 0.610 0.117 0.033
Tm 0.610 0.383 0.033

***

Material: NaTmCdCl6
Method: DFT, PBE-GGA
State: optimized geometry

Values from the calculation:
E in Ry per atom: -0.27617
Total moment in μB per cell: 0.00

Lattice parameters (Å, degrees): 6.771 6.771 12.598 90.00 90.00 120.00
Atoms (fractional coordinates):
Na 0.000 0.000 0.000
Na 0.000 0.000 0.500
Tm 0.333 0.667 0.250
Tm 0.667 0.333 0.750
Cd 0.333 0.667 0.750
Cd 0.667 0.333 0.250
Cl 0.006 0.358 0.132
Cl 0.006 0.648 0.368
Cl 0.352 0.358 0.368
Cl 0.352 0.994 0.132
Cl 0.358 0.006 0.632
Cl 0.358 0.352 0.868
Cl 0.642 0.648 0.132
Cl 0.642 0.994 0.368
Cl 0.648 0.006 0.868
Cl 0.648 0.642 0.632
Cl 0.994 0.352 0.632
Cl 0.994 0.642 0.868

***

Material: AgB2W
Method: DFT, PBE-GGA
State: optimized geometry

Values from the calculation:
Formation energy from the elements in eV/atom: 1.02
Offset from the most stable computed form in meV/atom: 104
E in Ry per atom: -0.46046
Total moment in μB per cell: 0.00

Lattice parameters (Å, degrees): 4.001 4.001 4.001 60.00 60.00 60.00
Atoms (fractional coordinates):
Ag 0.000 0.000 0.000
B 0.250 0.250 0.250
B 0.750 0.750 0.750
W 0.500 0.500 0.500

***

Material: Mg2PbBr6
Method: DFT, PBE-GGA
State: optimized geometry

Values from the calculation:
Offset from the most stable computed form in meV/atom: 0
E in Ry per atom: -0.23082
Total moment in μB per cell: 0.00

Lattice parameters (Å, degrees): 6.961 6.961 6.566 90.00 90.00 120.00
Atoms (fractional coordinates):
Mg 0.333 0.667 0.000
Mg 0.667 0.333 0.000
Pb 0.000 0.000 0.500
Br 0.000 0.363 0.232
Br 0.000 0.637 0.768
Br 0.363 0.000 0.232
Br 0.363 0.363 0.768
Br 0.637 0.000 0.768
Br 0.637 0.637 0.232

***

Material: Zr13Sn2
Method: DFT, PBE-GGA
State: optimized geometry

Values from the calculation:
Formation energy from the elements in eV/atom: 0.38
E in Ry per atom: -0.55551
Total moment in μB per cell: 0.00

Lattice parameters (Å, degrees): 8.854 8.854 8.854 53.13 53.13 53.13
Atoms (fractional coordinates):
Zr 0.000 0.000 0.000
Zr 0.112 0.112 0.497
Zr 0.112 0.497 0.112
Zr 0.244 0.244 0.619
Zr 0.244 0.619 0.244
Zr 0.381 0.756 0.756
Zr 0.497 0.112 0.112
Zr 0.503 0.888 0.888
Zr 0.619 0.244 0.244
Zr 0.756 0.381 0.756
Zr 0.756 0.756 0.381
Zr 0.888 0.503 0.888
Zr 0.888 0.888 0.503
Sn 0.134 0.134 0.134
Sn 0.866 0.866 0.866

***

Material: La3AsS
Method: DFT, PBE-GGA
State: optimized geometry

Values from the calculation:
Offset from the most stable computed form in meV/atom: 0
E in Ry per atom: -0.43298
Total moment in μB per cell: 0.29

Lattice parameters (Å, degrees): 6.970 3.828 6.974 90.00 119.96 90.00
Atoms (fractional coordinates):
La 0.000 0.000 0.000
La 0.318 0.000 0.668
La 0.669 0.000 0.351
As 0.329 0.500 0.339
S 0.996 0.500 0.673

***

> Which formula does entry 12 have?

La3AsS

***

> E of number 4 (Ta3Se4S2)?

-0.53679 Ry per atom